## TbGe2Ru (PBE-GGA)

Data for an optimized crystal structure of TbGe2Ru.

Computed properties:
Spin magnetization in μB/f.u.: 0.0
Formation energy from the elements in meV per atom: -638
E in eV per atom: -6.42

a b c (Å): 9.431 9.431 9.431
angles (deg): 153.94 122.33 64.33
Element x y z (fractional)
Tb 0.209 0.209 0.000
Tb 0.242 0.000 0.242
Tb 0.758 0.000 0.758
Tb 0.791 0.791 0.000
Ge 0.079 0.579 0.500
Ge 0.142 0.800 0.342
Ge 0.419 0.419 0.000
Ge 0.459 0.800 0.658
Ge 0.541 0.200 0.342
Ge 0.581 0.581 0.000
Ge 0.858 0.200 0.658
Ge 0.921 0.421 0.500
Ru 0.108 0.357 0.751
Ru 0.393 0.643 0.751
Ru 0.607 0.357 0.249
Ru 0.892 0.643 0.249

=====

## Tb4Ge3Ru (PBE-GGA)

Data for an optimized crystal structure of Tb4Ge3Ru.

Computed properties:
Spin magnetization in μB/f.u.: 0.0
Formation energy from the elements in meV per atom: -736
E in eV per atom: -5.94

a b c (Å): 3.958 4.271 10.800
angles (deg): 90.00 90.00 90.00
Element x y z (fractional)
Tb 0.000 0.000 0.000
Tb 0.000 0.500 0.489
Tb 0.500 0.000 0.712
Tb 0.500 0.500 0.219
Ge 0.000 0.500 0.768
Ge 0.500 0.000 0.430
Ge 0.500 0.500 0.931
Ru 0.000 0.000 0.274

=====

## Tb3Ge4Ru2 (PBE-GGA)

Data for an optimized crystal structure of Tb3Ge4Ru2.

Computed properties:
Spin magnetization in μB/f.u.: 0.0
Formation energy from the elements in meV per atom: -761
E in eV per atom: -6.42

a b c (Å): 5.803 5.803 8.203
angles (deg): 108.04 108.04 44.11
Element x y z (fractional)
Tb 0.000 0.000 0.000
Tb 0.377 0.377 0.303
Tb 0.623 0.623 0.697
Ge 0.094 0.094 0.403
Ge 0.287 0.287 0.922
Ge 0.713 0.713 0.078
Ge 0.906 0.906 0.597
Ru 0.318 0.318 0.640
Ru 0.682 0.682 0.360

=====

## Tb2Ge4Ru3 (PBE-GGA)

Data for an optimized crystal structure of Tb2Ge4Ru3.

Computed properties:
Spin magnetization in μB/f.u.: 0.0
Formation energy from the elements in meV per atom: -488
E in eV per atom: -6.66

a b c (Å): 7.872 6.808 5.576
angles (deg): 78.23 57.86 43.91
Element x y z (fractional)
Tb 0.132 0.132 0.868
Tb 0.868 0.868 0.132
Ge 0.174 0.514 0.486
Ge 0.486 0.826 0.174
Ge 0.514 0.174 0.826
Ge 0.826 0.486 0.514
Ru 0.000 0.000 0.500
Ru 0.500 0.500 0.000
Ru 0.500 0.500 0.500

=====

## Tb4Ge8Ru (PBE-GGA)

Data for an optimized crystal structure of Tb4Ge8Ru.

Computed properties:
Spin magnetization in μB/f.u.: 0.0
Formation energy from the elements in meV per atom: -600
E in eV per atom: -5.58

a b c (Å): 4.023 4.177 16.246
angles (deg): 90.00 90.00 90.00
Element x y z (fractional)
Tb 0.000 0.000 0.000
Tb 0.000 0.500 0.488
Tb 0.500 0.000 0.790
Tb 0.500 0.500 0.285
Ge 0.000 0.000 0.333
Ge 0.000 0.000 0.623
Ge 0.000 0.500 0.140
Ge 0.000 0.500 0.855
Ge 0.500 0.000 0.145
Ge 0.500 0.000 0.438
Ge 0.500 0.500 0.621
Ge 0.500 0.500 0.956
Ru 0.000 0.500 0.704

=====

## Tb2Ge3Ru (PBE-GGA)

Data for an optimized crystal structure of Tb2Ge3Ru.

Computed properties:
Spin magnetization in μB/f.u.: 0.0
Formation energy from the elements in meV per atom: -644
E in eV per atom: -6.04

a b c (Å): 10.423 4.394 7.037
angles (deg): 90.00 130.72 90.00
Element x y z (fractional)
Tb 0.000 0.000 0.000
Tb 0.109 0.000 0.599
Tb 0.500 0.500 0.000
Tb 0.609 0.500 0.599
Ge 0.174 0.500 0.946
Ge 0.237 0.500 0.412
Ge 0.372 0.000 0.192
Ge 0.674 0.000 0.946
Ge 0.737 0.000 0.412
Ge 0.872 0.500 0.192
Ru 0.375 0.000 0.562
Ru 0.875 0.500 0.562